Here is a crystal of LiHPd3 relaxed with PBEsol from the Alexandria database. Energies are from meta-GGA SCAN.

Structure (CIF):
```
data_LiHPd3
_chemical_formula_sum 'Li2 H2 Pd6'
_space_group_name_H-M_alt 'A m m 2'
_space_group_IT_number 38
_cell_length_a 2.7598
_cell_length_b 5.4660
_cell_length_c 7.8261
_cell_angle_alpha 90.00
_cell_angle_beta 90.00
_cell_angle_gamma 90.00
loop_
_space_group_symop_operation_xyz
'x,y,z'
'-x,-y,z'
'-x,y,z'
'x,-y,z'
'x,y+1/2,z+1/2'
'-x,-y+1/2,z+1/2'
'-x,y+1/2,z+1/2'
'x,-y+1/2,z+1/2'
loop_
_atom_site_label
_atom_site_type_symbol
_atom_site_fract_x
_atom_site_fract_y
_atom_site_fract_z
Li1 Li 0.0000 0.0000 0.0000
H1 H 0.0000 0.0000 0.2755
Pd1 Pd 0.0000 0.0000 0.5112
Pd2 Pd 0.5000 0.2482 0.7545
```


Here is a crystal of LiHPd relaxed with PBEsol from the Alexandria database. Energies are from meta-GGA SCAN.

Structure (CIF):
```
data_LiHPd
_chemical_formula_sum 'Li1 H1 Pd1'
_space_group_name_H-M_alt 'P 4/m m m'
_space_group_IT_number 123
_space_group_name_Hall '-P 4 2'
_cell_length_a 2.7517
_cell_length_b 2.7517
_cell_length_c 3.9376
_cell_angle_alpha 90.00
_cell_angle_beta 90.00
_cell_angle_gamma 90.00
loop_
_atom_site_label
_atom_site_type_symbol
_atom_site_fract_x
_atom_site_fract_y
_atom_site_fract_z
Li1 Li 0.0000 0.0000 0.0000
H1 H 0.0000 0.0000 0.5000
Pd1 Pd 0.5000 0.5000 0.5000
```


Here is a crystal of LiHPd3 relaxed with PBEsol from the Alexandria database. Energies are from meta-GGA SCAN.

Structure (CIF):
```
data_LiHPd3
_chemical_formula_sum 'Li1 H1 Pd3'
_space_group_name_H-M_alt 'P m -3 m'
_space_group_IT_number 221
_space_group_name_Hall '-P 4 2 3'
_cell_length_a 3.9015
_cell_length_b 3.9015
_cell_length_c 3.9015
_cell_angle_alpha 90.00
_cell_angle_beta 90.00
_cell_angle_gamma 90.00
loop_
_atom_site_label
_atom_site_type_symbol
_atom_site_fract_x
_atom_site_fract_y
_atom_site_fract_z
Li1 Li 0.0000 0.0000 0.0000
H1 H 0.5000 0.5000 0.5000
Pd1 Pd 0.0000 0.5000 0.5000
```


Here is a crystal of Li2H6Pt relaxed with PBEsol from the Alexandria database. Energies are from meta-GGA SCAN.

Structure (CIF):
```
data_Li2H6Pt
_chemical_formula_sum 'Li8 H24 Pt4'
_space_group_name_H-M_alt 'F m -3 m'
_space_group_IT_number 225
_space_group_name_Hall '-F 4 2 3'
_cell_length_a 6.5976
_cell_length_b 6.5976
_cell_length_c 6.5976
_cell_angle_alpha 90.00
_cell_angle_beta 90.00
_cell_angle_gamma 90.00
loop_
_atom_site_label
_atom_site_type_symbol
_atom_site_fract_x
_atom_site_fract_y
_atom_site_fract_z
Li1 Li 0.2500 0.2500 0.2500
H1 H 0.0000 0.0000 0.2486
Pt1 Pt 0.0000 0.0000 0.0000
```


Here is a crystal of Li2HPt relaxed with PBEsol from the Alexandria database. Energies are from meta-GGA SCAN.

Structure (CIF):
```
data_Li2HPt
_chemical_formula_sum 'Li8 H4 Pt4'
_space_group_name_H-M_alt 'I -4 2 d'
_space_group_IT_number 122
_space_group_name_Hall 'I -4 2bw'
_cell_length_a 6.8933
_cell_length_b 6.8933
_cell_length_c 3.7065
_cell_angle_alpha 90.00
_cell_angle_beta 90.00
_cell_angle_gamma 90.00
loop_
_atom_site_label
_atom_site_type_symbol
_atom_site_fract_x
_atom_site_fract_y
_atom_site_fract_z
Li1 Li 0.1383 0.7500 0.1250
H1 H 0.0000 0.0000 0.0000
Pt1 Pt 0.0000 0.0000 0.5000
```


Here is a crystal of Li2ScHPt relaxed with PBEsol from the Alexandria database. Energies are from meta-GGA SCAN.

Structure (CIF):
```
data_Li2ScHPt
_chemical_formula_sum 'Li2 Sc1 H1 Pt1'
_space_group_name_H-M_alt 'P 4/m m m'
_space_group_IT_number 123
_space_group_name_Hall '-P 4 2'
_cell_length_a 4.6923
_cell_length_b 4.6923
_cell_length_c 3.4239
_cell_angle_alpha 90.00
_cell_angle_beta 90.00
_cell_angle_gamma 90.00
loop_
_atom_site_label
_atom_site_type_symbol
_atom_site_fract_x
_atom_site_fract_y
_atom_site_fract_z
Li1 Li 0.0000 0.5000 0.0000
Sc1 Sc 0.0000 0.0000 0.5000
H1 H 0.5000 0.5000 0.5000
Pt1 Pt 0.5000 0.5000 0.0000
```


Here is a crystal of LiZnH2Pt relaxed with PBEsol from the Alexandria database. Energies are from meta-GGA SCAN.

Structure (CIF):
```
data_LiZnH2Pt
_chemical_formula_sum 'Li1 Zn1 H2 Pt1'
_space_group_name_H-M_alt 'P 4/m m m'
_space_group_IT_number 123
_space_group_name_Hall '-P 4 2'
_cell_length_a 3.5934
_cell_length_b 3.5934
_cell_length_c 4.7841
_cell_angle_alpha 90.00
_cell_angle_beta 90.00
_cell_angle_gamma 90.00
loop_
_atom_site_label
_atom_site_type_symbol
_atom_site_fract_x
_atom_site_fract_y
_atom_site_fract_z
Li1 Li 0.0000 0.0000 0.0000
Zn1 Zn 0.5000 0.5000 0.0000
H1 H 0.0000 0.5000 0.5000
Pt1 Pt 0.5000 0.5000 0.5000
```


Here is a crystal of Li4H4Rh relaxed with PBEsol from the Alexandria database. Energies are from meta-GGA SCAN.

Structure (CIF):
```
data_Li4H4Rh
_chemical_formula_sum 'Li8 H8 Rh2'
_space_group_name_H-M_alt 'I 4/m'
_space_group_IT_number 87
_space_group_name_Hall '-I 4'
_cell_length_a 6.2241
_cell_length_b 6.2241
_cell_length_c 4.0171
_cell_angle_alpha 90.00
_cell_angle_beta 90.00
_cell_angle_gamma 90.00
loop_
_atom_site_label
_atom_site_type_symbol
_atom_site_fract_x
_atom_site_fract_y
_atom_site_fract_z
Li1 Li 0.1123 0.2816 0.0000
H1 H 0.0670 0.2651 0.5000
Rh1 Rh 0.0000 0.0000 0.5000
```


Here is a crystal of Li3H4Rh relaxed with PBEsol from the Alexandria database. Energies are from meta-GGA SCAN.

Structure (CIF):
```
data_Li3H4Rh
_chemical_formula_sum 'Li12 H16 Rh4'
_space_group_name_H-M_alt 'C m c m'
_space_group_IT_number 63
_space_group_name_Hall '-C 2c 2'
_cell_length_a 3.7282
_cell_length_b 8.8571
_cell_length_c 8.6834
_cell_angle_alpha 90.00
_cell_angle_beta 90.00
_cell_angle_gamma 90.00
loop_
_atom_site_label
_atom_site_type_symbol
_atom_site_fract_x
_atom_site_fract_y
_atom_site_fract_z
Li1 Li 0.0000 0.0086 0.2500
Li2 Li 0.0000 0.3353 0.0711
H1 H 0.0000 0.1694 0.6114
H2 H 0.0000 0.4381 0.6220
Rh1 Rh 0.0000 0.2991 0.7500
```


Here is a crystal of LiH2Rh2 relaxed with PBEsol from the Alexandria database. Energies are from meta-GGA SCAN.

Structure (CIF):
```
data_LiH2Rh2
_chemical_formula_sum 'Li2 H4 Rh4'
_space_group_name_H-M_alt 'I 4/m m m'
_space_group_IT_number 139
_space_group_name_Hall '-I 4 2'
_cell_length_a 3.3914
_cell_length_b 3.3914
_cell_length_c 8.0808
_cell_angle_alpha 90.00
_cell_angle_beta 90.00
_cell_angle_gamma 90.00
loop_
_atom_site_label
_atom_site_type_symbol
_atom_site_fract_x
_atom_site_fract_y
_atom_site_fract_z
Li1 Li 0.0000 0.0000 0.0000
H1 H 0.0000 0.5000 0.2500
Rh1 Rh 0.0000 0.0000 0.3389
```


Here is a crystal of LiSnH2Rh relaxed with PBEsol from the Alexandria database. Energies are from meta-GGA SCAN.

Structure (CIF):
```
data_LiSnH2Rh
_chemical_formula_sum 'Li1 Sn1 H2 Rh1'
_space_group_name_H-M_alt 'P 4/m m m'
_space_group_IT_number 123
_space_group_name_Hall '-P 4 2'
_cell_length_a 3.6139
_cell_length_b 3.6139
_cell_length_c 5.0778
_cell_angle_alpha 90.00
_cell_angle_beta 90.00
_cell_angle_gamma 90.00
loop_
_atom_site_label
_atom_site_type_symbol
_atom_site_fract_x
_atom_site_fract_y
_atom_site_fract_z
Li1 Li 0.0000 0.0000 0.0000
Sn1 Sn 0.5000 0.5000 0.5000
H1 H 0.0000 0.5000 0.0000
Rh1 Rh 0.0000 0.0000 0.5000
```


Here is a crystal of Li4H6Ru relaxed with PBEsol from the Alexandria database. Energies are from meta-GGA SCAN.

Structure (CIF):
```
data_Li4H6Ru
_chemical_formula_sum 'Li24 H36 Ru6'
_space_group_name_H-M_alt 'R -3 c'
_space_group_IT_number 167
_space_group_name_Hall '-R 3 2"c'
_cell_length_a 8.0220
_cell_length_b 8.0220
_cell_length_c 9.8385
_cell_angle_alpha 90.00
_cell_angle_beta 90.00
_cell_angle_gamma 120.00
loop_
_atom_site_label
_atom_site_type_symbol
_atom_site_fract_x
_atom_site_fract_y
_atom_site_fract_z
Li1 Li 0.0000 0.0000 0.2500
Li2 Li 0.0000 0.3779 0.2500
H1 H 0.0401 0.1901 0.3996
Ru1 Ru 0.0000 0.0000 0.0000
```


Here is a crystal of Li3HS relaxed with PBEsol from the Alexandria database. Energies are from meta-GGA SCAN.

Structure (CIF):
```
data_Li3HS
_chemical_formula_sum 'Li3 H1 S1'
_space_group_name_H-M_alt 'P m -3 m'
_space_group_IT_number 221
_space_group_name_Hall '-P 4 2 3'
_cell_length_a 3.7620
_cell_length_b 3.7620
_cell_length_c 3.7620
_cell_angle_alpha 90.00
_cell_angle_beta 90.00
_cell_angle_gamma 90.00
loop_
_atom_site_label
_atom_site_type_symbol
_atom_site_fract_x
_atom_site_fract_y
_atom_site_fract_z
Li1 Li 0.0000 0.0000 0.5000
H1 H 0.0000 0.0000 0.0000
S1 S 0.5000 0.5000 0.5000
```


Here is a crystal of Li2HS relaxed with PBEsol from the Alexandria database. Energies are from meta-GGA SCAN.

Structure (CIF):
```
data_Li2HS
_chemical_formula_sum 'Li8 H4 S4'
_space_group_name_H-M_alt 'F m -3 m'
_space_group_IT_number 225
_space_group_name_Hall '-F 4 2 3'
_cell_length_a 5.6622
_cell_length_b 5.6622
_cell_length_c 5.6622
_cell_angle_alpha 90.00
_cell_angle_beta 90.00
_cell_angle_gamma 90.00
loop_
_atom_site_label
_atom_site_type_symbol
_atom_site_fract_x
_atom_site_fract_y
_atom_site_fract_z
Li1 Li 0.2500 0.2500 0.2500
H1 H 0.0000 0.0000 0.0000
S1 S 0.0000 0.0000 0.5000
```


Here is a crystal of LiSbHSe2 relaxed with PBEsol from the Alexandria database. Energies are from meta-GGA SCAN.

Structure (CIF):
```
data_LiSbHSe2
_chemical_formula_sum 'Li1 Sb1 H1 Se2'
_space_group_name_H-M_alt 'P 4/m m m'
_space_group_IT_number 123
_space_group_name_Hall '-P 4 2'
_cell_length_a 4.8606
_cell_length_b 4.8606
_cell_length_c 3.8659
_cell_angle_alpha 90.00
_cell_angle_beta 90.00
_cell_angle_gamma 90.00
loop_
_atom_site_label
_atom_site_type_symbol
_atom_site_fract_x
_atom_site_fract_y
_atom_site_fract_z
Li1 Li 0.0000 0.0000 0.0000
Sb1 Sb 0.5000 0.5000 0.0000
H1 H 0.5000 0.5000 0.5000
Se1 Se 0.0000 0.5000 0.5000
```


Here is a crystal of LiSi3H relaxed with PBEsol from the Alexandria database. Energies are from meta-GGA SCAN.

Structure (CIF):
```
data_LiSi3H
_chemical_formula_sum 'Li1 Si3 H1'
_space_group_name_H-M_alt 'P m -3 m'
_space_group_IT_number 221
_space_group_name_Hall '-P 4 2 3'
_cell_length_a 4.2445
_cell_length_b 4.2445
_cell_length_c 4.2445
_cell_angle_alpha 90.00
_cell_angle_beta 90.00
_cell_angle_gamma 90.00
loop_
_atom_site_label
_atom_site_type_symbol
_atom_site_fract_x
_atom_site_fract_y
_atom_site_fract_z
Li1 Li 0.0000 0.0000 0.0000
Si1 Si 0.0000 0.0000 0.5000
H1 H 0.5000 0.5000 0.5000
```


Here is a crystal of LiTiSi2H relaxed with PBEsol from the Alexandria database. Energies are from meta-GGA SCAN.

Structure (CIF):
```
data_LiTiSi2H
_chemical_formula_sum 'Li1 Ti1 Si2 H1'
_space_group_name_H-M_alt 'P 4/m m m'
_space_group_IT_number 123
_space_group_name_Hall '-P 4 2'
_cell_length_a 3.9095
_cell_length_b 3.9095
_cell_length_c 3.6566
_cell_angle_alpha 90.00
_cell_angle_beta 90.00
_cell_angle_gamma 90.00
loop_
_atom_site_label
_atom_site_type_symbol
_atom_site_fract_x
_atom_site_fract_y
_atom_site_fract_z
Li1 Li 0.0000 0.0000 0.0000
Ti1 Ti 0.5000 0.5000 0.0000
Si1 Si 0.0000 0.5000 0.5000
H1 H 0.0000 0.0000 0.5000
```


Here is a crystal of Li2SnH relaxed with PBEsol from the Alexandria database. Energies are from meta-GGA SCAN.

Structure (CIF):
```
data_Li2SnH
_chemical_formula_sum 'Li8 Sn4 H4'
_space_group_name_H-M_alt 'F m -3 m'
_space_group_IT_number 225
_space_group_name_Hall '-F 4 2 3'
_cell_length_a 6.3114
_cell_length_b 6.3114
_cell_length_c 6.3114
_cell_angle_alpha 90.00
_cell_angle_beta 90.00
_cell_angle_gamma 90.00
loop_
_atom_site_label
_atom_site_type_symbol
_atom_site_fract_x
_atom_site_fract_y
_atom_site_fract_z
Li1 Li 0.2500 0.2500 0.2500
Sn1 Sn 0.0000 0.0000 0.0000
H1 H 0.0000 0.0000 0.5000
```


Here is a crystal of Li2SnH relaxed with PBEsol from the Alexandria database. Energies are from meta-GGA SCAN.

Structure (CIF):
```
data_Li2SnH
_chemical_formula_sum 'Li8 Sn4 H4'
_space_group_name_H-M_alt 'I -4 2 d'
_space_group_IT_number 122
_space_group_name_Hall 'I -4 2bw'
_cell_length_a 5.5682
_cell_length_b 5.5682
_cell_length_c 7.8118
_cell_angle_alpha 90.00
_cell_angle_beta 90.00
_cell_angle_gamma 90.00
loop_
_atom_site_label
_atom_site_type_symbol
_atom_site_fract_x
_atom_site_fract_y
_atom_site_fract_z
Li1 Li 0.0318 0.7500 0.1250
Sn1 Sn 0.0000 0.0000 0.5000
H1 H 0.0000 0.0000 0.0000
```


Here is a crystal of Li2ZrSnH relaxed with PBEsol from the Alexandria database. Energies are from meta-GGA SCAN.

Structure (CIF):
```
data_Li2ZrSnH
_chemical_formula_sum 'Li2 Zr1 Sn1 H1'
_space_group_name_H-M_alt 'P 4/m m m'
_space_group_IT_number 123
_space_group_name_Hall '-P 4 2'
_cell_length_a 4.1402
_cell_length_b 4.1402
_cell_length_c 4.3325
_cell_angle_alpha 90.00
_cell_angle_beta 90.00
_cell_angle_gamma 90.00
loop_
_atom_site_label
_atom_site_type_symbol
_atom_site_fract_x
_atom_site_fract_y
_atom_site_fract_z
Li1 Li 0.0000 0.5000 0.0000
Zr1 Zr 0.0000 0.0000 0.5000
Sn1 Sn 0.5000 0.5000 0.5000
H1 H 0.0000 0.0000 0.0000
```


| no. | E_tot (Ha/atom) |
| --- | --- |
| 1 | -0.776 |
| 2 | -0.489 |
| 3 | -0.776 |
| 4 | -0.408 |
| 5 | -0.734 |
| 6 | -0.680 |
| 7 | -0.687 |
| 8 | -0.251 |
| 9 | -0.270 |
| 10 | -0.566 |
| 11 | -0.564 |
| 12 | -0.236 |
| 13 | -0.187 |
| 14 | -0.186 |
| 15 | -0.607 |
| 16 | -0.212 |
| 17 | -0.311 |
| 18 | -0.395 |
| 19 | -0.417 |
| 20 | -0.567 |